DyLuCoGe2: optimized geometry, PBE.

Cell and atoms, written as POSCAR:
```
DyLuCoGe2
1.0
5.172 -2.087 0.000
5.172 2.087 0.000
-4.683 0.000 8.941
Dy Ge Co Lu
2 4 2 2
Cartesian
4.257 0.000 7.928 Dy
1.404 0.000 1.013 Dy
1.552 0.000 3.900 Ge
4.109 0.000 5.040 Ge
1.238 0.000 7.810 Ge
4.423 0.000 1.131 Ge
-0.169 0.000 5.760 Co
5.830 0.000 3.181 Co
7.158 0.000 5.948 Lu
-1.498 0.000 2.992 Lu
```

Calculated total energy = -58.45 eV/cell
V = 193.0 Å³/cell
SG = C2/m (12)

---

NdDyCo2Ge4: optimized geometry, PBE.

Cell and atoms, written as POSCAR:
```
NdDyCo2Ge4
1.0
-3.118 -0.580 -2.737
-4.018 6.944 3.105
-1.602 8.452 0.033
Ge Co Nd Dy
4 2 1 1
Cartesian
-5.772 11.251 0.984 Ge
-1.397 3.828 0.780 Ge
-5.371 14.716 2.999 Ge
-1.814 0.410 -1.226 Ge
-4.599 12.601 2.568 Co
-2.575 2.492 -0.801 Co
-3.760 5.741 -0.139 Nd
-3.424 9.382 1.912 Dy
```

Calculated total energy = -47.25 eV/cell
V = 146.4 Å³/cell
SG = Amm2 (38)

---

DyCoGe2Pd: optimized geometry, PBE.

Cell and atoms, written as POSCAR:
```
DyCoGe2Pd
1.0
5.391 0.361 2.286
0.748 0.202 5.815
-2.909 -3.193 -3.970
Dy Co Ge Pd
1 1 2 1
Cartesian
2.776 -1.275 1.183 Dy
0.000 0.000 0.000 Co
1.205 -1.286 3.938 Ge
-0.296 -1.424 1.958 Ge
3.069 0.282 4.050 Pd
```

Calculated total energy = -29.40 eV/cell
V = 86.6 Å³/cell
SG = I-4m2 (119)

---

SmDyCo2Ge4: optimized geometry, PBE.

Cell and atoms, written as POSCAR:
```
SmDyCo2Ge4
1.0
-1.117 -0.988 -3.897
-6.613 5.420 0.520
-3.495 7.761 -0.967
Ge Co Dy Sm
4 2 1 1
Cartesian
-0.448 0.584 -0.020 Ge
-7.594 9.903 -0.335 Ge
-3.089 2.806 -2.060 Ge
-10.207 12.087 -2.374 Ge
-1.835 2.393 -0.081 Co
-8.839 10.304 -2.314 Co
-3.947 5.148 -0.174 Dy
-6.708 7.525 -2.220 Sm
```

Calculated total energy = -47.20 eV/cell
V = 144.6 Å³/cell
SG = Amm2 (38)

---

DyCo4Sn4Ge2: optimized geometry, PBE.

Cell and atoms, written as POSCAR:
```
DyCo4Sn4Ge2
1.0
-3.193 3.193 4.785
3.193 -3.193 4.785
3.193 3.193 -4.785
Co Sn Ge Dy
4 4 2 1
Cartesian
1.152 -1.152 5.435 Co
2.041 2.041 -0.651 Co
-1.152 1.152 5.435 Co
1.152 1.152 4.134 Co
1.130 -1.130 2.803 Sn
2.063 2.063 1.982 Sn
1.130 1.130 6.767 Sn
-1.130 1.130 2.803 Sn
0.000 3.193 0.000 Ge
3.193 0.000 0.000 Ge
0.000 0.000 0.000 Dy
```

Calculated total energy = -61.52 eV/cell
V = 195.1 Å³/cell
SG = I-42m (121)

---

Dy4TlCo2Ge4: optimized geometry, PBE.

Cell and atoms, written as POSCAR:
```
Dy4TlCo2Ge4
1.0
-7.420 2.279 -2.113
-7.939 -1.299 0.071
1.640 3.414 5.979
Tl Dy Co Ge
1 4 2 4
Cartesian
0.000 0.000 0.000 Tl
-5.208 0.543 -0.348 Dy
-8.512 3.851 4.286 Dy
-5.287 2.488 2.819 Dy
-8.433 1.906 1.119 Dy
-11.368 2.038 0.638 Co
-2.352 2.356 3.300 Co
-2.746 1.133 1.204 Ge
-13.731 2.085 0.154 Ge
0.012 2.309 3.783 Ge
-10.974 3.261 2.734 Ge
```

Calculated total energy = -60.96 eV/cell
V = 220.6 Å³/cell
SG = C2/m (12)

---

DyTmCoGe2: optimized geometry, PBE.

Cell and atoms, written as POSCAR:
```
DyTmCoGe2
1.0
0.811 4.561 -3.160
-1.873 1.889 -4.936
-6.333 1.152 7.840
Co Tm Ge Dy
2 2 4 2
Cartesian
-4.373 2.522 2.816 Co
-3.023 5.080 -3.073 Co
-2.122 0.425 2.569 Tm
-5.273 7.177 -2.825 Tm
-3.124 2.732 0.612 Ge
-6.083 4.327 2.686 Ge
-1.312 3.275 -2.943 Ge
-4.271 4.870 -0.869 Ge
-6.482 6.270 0.367 Dy
-0.914 1.332 -0.623 Dy
```

Calculated total energy = -58.39 eV/cell
Energy above the lowest structure with this stoichiometry = 0.000 eV/atom
V = 195.2 Å³/cell
SG = C2/m (12)

---

DyTmCoGe2: optimized geometry, PBE.

Cell and atoms, written as POSCAR:
```
DyTmCoGe2
1.0
5.181 -2.088 0.000
5.181 2.088 0.000
-4.707 0.000 8.981
Co Ge Tm Dy
2 4 2 2
Cartesian
5.873 0.000 3.089 Co
-0.218 0.000 5.892 Co
1.222 0.000 7.903 Ge
1.494 0.000 3.931 Ge
4.433 0.000 1.078 Ge
4.161 0.000 5.049 Ge
1.393 0.000 1.032 Tm
4.262 0.000 7.949 Tm
-1.520 0.000 2.970 Dy
7.175 0.000 6.010 Dy
```

Calculated total energy = -58.37 eV/cell
Energy above the lowest structure with this stoichiometry = 0.002 eV/atom
V = 194.3 Å³/cell
SG = C2/m (12)

---

DyHfCo: optimized geometry, PBE.

Cell and atoms, written as POSCAR:
```
DyHfCo
1.0
-2.554 -1.289 3.479
-4.235 -1.366 -0.699
-1.079 -4.343 0.514
Dy Co Hf
1 1 1
Cartesian
0.000 0.000 0.000 Dy
-3.934 -3.499 1.647 Co
-1.967 -1.750 0.823 Hf
```

Calculated total energy = -19.34 eV/cell
Energy above the lowest structure with this stoichiometry = 0.000 eV/atom
V = 64.6 Å³/cell
SG = F-43m (216)

---

Dy3Hf3CoTe2: optimized geometry, PBE.

Cell and atoms, written as POSCAR:
```
Dy3Hf3CoTe2
1.0
-5.495 5.209 2.929
-0.037 -1.932 -7.885
-2.238 -2.745 0.683
Hf Te Dy Co
3 2 3 1
Cartesian
-3.351 -0.050 -1.658 Hf
-1.141 -2.525 -4.362 Hf
-4.397 1.735 2.089 Hf
-1.857 0.448 -4.280 Te
-3.676 2.829 -0.676 Te
-4.181 2.477 -3.745 Dy
-0.009 -0.472 -1.926 Dy
-1.342 1.272 0.716 Dy
-1.119 -1.373 0.342 Co
```

Calculated total energy = -60.25 eV/cell
V = 205.9 Å³/cell
SG = P-62m (189)

---

DyCoHg: optimized geometry, PBE.

Cell and atoms, written as POSCAR:
```
DyCoHg
1.0
-4.378 0.001 1.098
-1.941 3.775 1.532
-2.972 2.214 -2.576
Co Hg Dy
1 1 1
Cartesian
0.000 0.000 0.000 Co
-6.968 4.493 0.041 Hg
-2.323 1.498 0.014 Dy
```

Calculated total energy = -12.12 eV/cell
V = 65.0 Å³/cell
SG = F-43m (216)

---

DyCoHg: optimized geometry, PBE.

Cell and atoms, written as POSCAR:
```
DyCoHg
1.0
0.377 -4.556 -1.229
-3.385 -2.036 -2.609
0.866 -1.173 -4.504
Co Hg Dy
1 1 1
Cartesian
-0.535 -1.941 -2.085 Co
-1.606 -5.824 -6.256 Hg
0.000 0.000 0.000 Dy
```

Calculated total energy = -10.56 eV/cell
V = 75.0 Å³/cell
SG = F-43m (216)

---

Dy12Co6Hg: optimized geometry, PBE.

Cell and atoms, written as POSCAR:
```
Dy12Co6Hg
1.0
-4.805 4.805 4.805
4.805 -4.805 4.805
4.805 4.805 -4.805
Co Dy Hg
6 12 1
Cartesian
1.090 0.000 4.805 Co
0.000 3.714 4.805 Co
3.714 4.805 0.000 Co
0.000 4.805 1.090 Co
4.805 1.090 0.000 Co
4.805 0.000 3.714 Co
2.941 1.899 4.805 Dy
4.805 2.941 -1.899 Dy
2.941 -1.899 4.805 Dy
0.000 1.864 6.704 Dy
1.864 2.906 0.000 Dy
1.864 6.704 0.000 Dy
-1.899 4.805 2.941 Dy
4.805 2.941 1.899 Dy
6.704 0.000 1.864 Dy
1.899 4.805 2.941 Dy
0.000 1.864 2.906 Dy
2.906 0.000 1.864 Dy
0.000 0.000 0.000 Hg
```

Calculated total energy = -102.65 eV/cell
V = 443.7 Å³/cell
SG = Im-3 (204)

---

DyHo2Co9: optimized geometry, PBE.

Cell and atoms, written as POSCAR:
```
DyHo2Co9
1.0
2.472 1.427 8.058
-2.472 1.427 8.058
0.000 -2.855 8.058
Ho Co Dy
2 9 1
Cartesian
0.000 0.000 20.795 Ho
0.000 0.000 3.380 Ho
1.248 -0.720 10.028 Co
0.000 0.000 12.088 Co
-1.248 -0.720 10.028 Co
0.000 0.000 16.079 Co
0.000 0.000 8.096 Co
0.000 -1.441 14.147 Co
1.248 0.720 14.147 Co
-1.248 0.720 14.147 Co
0.000 1.441 10.028 Co
0.000 0.000 0.000 Dy
```

Calculated total energy = -79.95 eV/cell
V = 170.7 Å³/cell
SG = R-3m (166)

---

Dy2HoCo2: optimized geometry, PBE.

Cell and atoms, written as POSCAR:
```
Dy2HoCo2
1.0
-6.314 -2.474 -0.474
-4.244 -4.427 -2.934
4.391 -4.226 7.052
Dy Co Ho
4 4 2
Cartesian
-8.556 -6.530 -2.017 Dy
0.772 -3.007 3.038 Dy
-6.939 -8.119 0.606 Dy
2.388 -4.597 5.661 Dy
-4.542 -8.187 2.678 Co
-2.830 -6.402 2.702 Co
-1.626 -2.940 0.966 Co
-3.337 -4.725 0.942 Co
-0.535 -6.170 4.449 Ho
-5.632 -4.957 -0.805 Ho
```

Calculated total energy = -57.87 eV/cell
V = 215.5 Å³/cell
SG = C2/m (12)

---

DyHoIn4Co2: optimized geometry, PBE.

Cell and atoms, written as POSCAR:
```
DyHoIn4Co2
1.0
7.597 0.000 0.000
0.000 2.134 5.096
0.000 -2.134 5.096
In Co Dy Ho
4 2 1 1
Cartesian
6.080 0.000 1.485 In
1.517 0.000 1.485 In
2.287 0.000 8.706 In
5.310 0.000 8.706 In
0.000 0.000 7.286 Co
3.799 0.000 2.907 Co
0.000 0.000 4.413 Dy
3.799 0.000 5.779 Ho
```

Calculated total energy = -36.65 eV/cell
V = 165.2 Å³/cell
SG = Amm2 (38)

---

DyHoInCo2: optimized geometry, PBE.

Cell and atoms, written as POSCAR:
```
DyHoInCo2
1.0
-1.622 -3.401 -0.958
-6.480 2.817 0.969
-5.631 3.445 -2.700
Dy Co Ho In
1 2 1 1
Cartesian
-5.180 0.559 -1.103 Dy
-2.496 1.291 -0.357 Co
-9.608 4.969 -1.373 Co
-8.555 2.304 -1.586 Ho
-0.004 0.002 -0.001 In
```

Calculated total energy = -27.88 eV/cell
V = 102.0 Å³/cell
SG = Amm2 (38)

---

NdDy3Ho2CoTe2: optimized geometry, PBE.

Cell and atoms, written as POSCAR:
```
NdDy3Ho2CoTe2
1.0
3.952 0.000 0.000
0.000 7.249 4.224
0.000 -7.249 4.224
Dy Ho Nd Te Co
3 2 1 2 1
Cartesian
0.000 -1.675 7.440 Dy
0.000 1.675 7.440 Dy
0.000 0.000 2.006 Dy
1.976 -2.845 1.671 Ho
1.976 2.845 1.671 Ho
1.976 0.000 4.994 Nd
0.000 2.503 4.205 Te
0.000 -2.503 4.205 Te
1.976 0.000 0.156 Co
```

Calculated total energy = -47.19 eV/cell
V = 242.0 Å³/cell
SG = Amm2 (38)

---

Dy2HoCo3Ni6: optimized geometry, PBE.

Cell and atoms, written as POSCAR:
```
Dy2HoCo3Ni6
1.0
2.460 1.420 8.125
-2.460 1.420 8.125
0.000 -2.840 8.125
Dy Ni Co Ho
2 6 3 1
Cartesian
0.000 0.000 3.394 Dy
0.000 0.000 20.980 Dy
0.000 1.415 10.110 Ni
1.225 -0.708 10.110 Ni
-1.225 -0.708 10.110 Ni
1.225 0.708 14.264 Ni
0.000 -1.415 14.264 Ni
-1.225 0.708 14.264 Ni
0.000 0.000 16.258 Co
0.000 0.000 8.115 Co
0.000 0.000 12.187 Co
0.000 0.000 0.000 Ho
```

Calculated total energy = -72.21 eV/cell
V = 170.2 Å³/cell
SG = R-3m (166)

---

Dy2HoCo8Ni: optimized geometry, PBE.

Cell and atoms, written as POSCAR:
```
Dy2HoCo8Ni
1.0
2.455 1.418 8.158
-2.455 1.418 8.158
0.000 -2.835 8.158
Co Dy Ho Ni
8 2 1 1
Cartesian
-1.228 -0.709 10.125 Co
0.000 0.000 8.165 Co
-1.228 0.709 14.348 Co
0.000 -1.418 14.349 Co
0.000 1.418 10.125 Co
1.228 -0.709 10.125 Co
1.228 0.709 14.348 Co
0.000 0.000 16.309 Co
0.000 0.000 21.068 Dy
0.000 0.000 3.406 Dy
0.000 0.000 0.000 Ho
0.000 0.000 12.237 Ni
```

Calculated total energy = -78.61 eV/cell
V = 170.4 Å³/cell
SG = R-3m (166)

---

DyHo2Co2Ni7: optimized geometry, PBE.

Cell and atoms, written as POSCAR:
```
DyHo2Co2Ni7
1.0
2.464 1.422 8.093
-2.464 1.422 8.093
0.000 -2.845 8.093
Co Ni Ho Dy
2 7 2 1
Cartesian
0.000 0.000 8.086 Co
0.000 0.000 16.194 Co
1.236 0.714 14.203 Ni
-1.236 -0.714 10.077 Ni
1.236 -0.714 10.077 Ni
0.000 0.000 12.140 Ni
0.000 -1.427 14.203 Ni
0.000 1.427 10.077 Ni
-1.236 0.714 14.203 Ni
0.000 0.000 3.368 Ho
0.000 0.000 20.912 Ho
0.000 0.000 0.000 Dy
```

Calculated total energy = -71.26 eV/cell
V = 170.2 Å³/cell
SG = R-3m (166)

---

Dy2HoCo7Ni2: optimized geometry, PBE.

Cell and atoms, written as POSCAR:
```
Dy2HoCo7Ni2
1.0
2.453 1.416 8.165
-2.453 1.416 8.165
0.000 -2.832 8.165
Dy Co Ho Ni
2 7 1 2
Cartesian
0.000 0.000 21.081 Dy
0.000 0.000 3.416 Dy
1.227 -0.709 10.163 Co
0.000 0.000 12.248 Co
1.227 0.709 14.333 Co
0.000 1.417 10.163 Co
-1.227 0.709 14.333 Co
-1.227 -0.709 10.163 Co
0.000 -1.417 14.333 Co
0.000 0.000 0.000 Ho
0.000 0.000 16.327 Ni
0.000 0.000 8.170 Ni
```

Calculated total energy = -77.33 eV/cell
V = 170.2 Å³/cell
SG = R-3m (166)

---

DyHo2Co3Ni6: optimized geometry, PBE.

Cell and atoms, written as POSCAR:
```
DyHo2Co3Ni6
1.0
-4.678 -6.417 3.302
-1.552 -8.458 0.085
-0.001 -7.261 4.608
Ho Dy Co Ni
2 1 3 6
Cartesian
-0.867 -3.081 1.113 Ho
-5.364 -19.055 6.883 Ho
0.000 0.000 0.000 Dy
-2.075 -7.373 2.663 Co
-3.116 -11.068 3.998 Co
-4.156 -14.764 5.333 Co
-3.382 -13.482 3.389 Ni
-1.291 -9.672 3.003 Ni
-4.940 -12.464 4.993 Ni
-2.849 -8.654 4.606 Ni
-2.609 -12.885 5.644 Ni
-3.622 -9.251 2.352 Ni
```

Calculated total energy = -72.28 eV/cell
V = 170.7 Å³/cell
SG = R-3m (166)